Below is a geometry-optimized Li27As10 structure, with properties calculated at the PBE-GGA level.

**DOS at the Fermi energy**: 15.99 states/eV/cell
**Space-group type**: No. 12
**Formation enthalpy at 0 K**: -0.67 eV/atom
**Volume**: 570.1 Å³ per cell

Cell: 11.4679 11.4679 7.4515 Å, 84.05 84.05 142.13°
Closest atoms and distances in Å follow each position.
Positions (direct):
Li 0.6552 0.0672 0.8870  4 As 2.68-2.72, 6 Li 2.70-2.98
Li 0.5091 0.7234 0.1168  4 As 2.59-2.74, 5 Li 2.71-2.87
Li 0.0286 0.2096 0.6168  4 As 2.60-2.70, 6 Li 2.68-2.85
Li 0.4122 0.8154 0.6495  4 As 2.59-2.72, 4 Li 2.67-2.87
Li 0.2096 0.0286 0.6168  4 As 2.60-2.70, 6 Li 2.68-2.85
Li 0.7904 0.9714 0.3832  4 As 2.60-2.70, 6 Li 2.68-2.85
Li 0.4909 0.2766 0.8832  4 As 2.59-2.74, 5 Li 2.71-2.87
Li 0.5000 0.5000 0.0000  8 Li 2.72-2.73, 2 As 2.86
Li 0.8864 0.8864 0.8543  4 As 2.62-2.71, 6 Li 2.73-2.89
Li 0.3533 0.3533 0.3842  4 As 2.64-2.70, 6 Li 2.72-2.89
Li 0.8154 0.4122 0.6495  4 As 2.59-2.72, 4 Li 2.67-2.87
Li 0.9714 0.7904 0.3832  4 As 2.60-2.70, 6 Li 2.68-2.85
Li 0.7234 0.5091 0.1168  4 As 2.59-2.74, 5 Li 2.71-2.87
Li 0.3448 0.9328 0.1130  4 As 2.68-2.72, 6 Li 2.70-2.98
Li 0.6032 0.3968 0.5000  8 Li 2.67-2.75, 2 As 2.93
Li 0.8051 0.1949 0.5000  8 Li 2.68-2.76, 4 As 2.88-2.97
Li 0.2766 0.4909 0.8832  4 As 2.59-2.74, 5 Li 2.71-2.87
Li 0.1846 0.5878 0.3505  4 As 2.59-2.72, 4 Li 2.67-2.87
Li 0.9328 0.3448 0.1130  4 As 2.68-2.72, 6 Li 2.70-2.98
Li 0.1949 0.8051 0.5000  8 Li 2.68-2.76, 4 As 2.88-2.97
Li 0.1034 0.8966 0.0000  8 Li 2.70-2.74, 4 As 2.97-3.00
Li 0.8966 0.1034 0.0000  8 Li 2.70-2.74, 4 As 2.97-3.00
Li 0.5878 0.1846 0.3505  4 As 2.59-2.72, 4 Li 2.67-2.87
Li 0.3968 0.6032 0.5000  8 Li 2.67-2.75, 2 As 2.93
Li 0.6467 0.6467 0.6158  4 As 2.64-2.70, 6 Li 2.72-2.89
Li 0.1136 0.1136 0.1457  4 As 2.62-2.71, 6 Li 2.73-2.89
Li 0.0672 0.6552 0.8870  4 As 2.68-2.72, 6 Li 2.70-2.98
As 0.0466 0.4367 0.7349  9 Li 2.59-2.88
As 0.4367 0.0466 0.7349  9 Li 2.59-2.88
As 0.7352 0.7352 0.2375  9 Li 2.64-2.86
As 0.6519 0.8541 0.7507  8 Li 2.59-2.72
As 0.8541 0.6519 0.7507  8 Li 2.59-2.72
As 0.9534 0.5633 0.2651  9 Li 2.59-2.88
As 0.1459 0.3481 0.2493  8 Li 2.59-2.72
As 0.2648 0.2648 0.7625  9 Li 2.64-2.86
As 0.5633 0.9534 0.2651  9 Li 2.59-2.88
As 0.3481 0.1459 0.2493  8 Li 2.59-2.72